Version w
Compound: LaBe2Fe2
Source: the Alexandria database
Functional: PBE-GGA
Structure: optimized geometry

```
5
Lattice="3.744 0.000 0.000 0.000 3.744 0.000 1.872 1.872 5.383" Properties=species:S:1:pos:R:3 pbc="T T T"
Be 1.872 1.872 1.440
Be 3.744 3.744 3.943
Fe 3.744 1.872 2.691
Fe 1.872 3.744 2.691
La 0.000 0.000 0.000
```

Computed properties:
Its density of states at the Fermi level is 4.95 states/eV/f.u. The magnetic moment is 3.33 μB per cell. Its symmetry is No. 139.



Version x
Compound: LaBe2Fe2
Source: the Alexandria database
Functional: PBE-GGA
Structure: optimized geometry

```
10
Lattice="-0.650 0.484 -7.031 -0.663 -7.033 -0.422 -2.737 0.242 0.270" Properties=species:S:1:pos:R:3 pbc="T T T"
Be -0.844 -6.072 -3.118
Be -0.983 -3.860 -6.515
Be -0.469 -0.478 -4.335
Be -0.330 -2.690 -0.938
Fe -1.909 -4.437 -1.261
Fe -2.354 -5.476 -4.853
Fe -2.141 -1.871 -5.923
Fe -1.696 -0.832 -2.330
La 0.000 0.000 0.000
La -0.656 -3.275 -3.727
```

Computed properties:
Its density of states at the Fermi level is 5.12 states/eV/f.u. The magnetic moment is 6.01 μB per cell. Its symmetry is No. 127.



version w ends up most stable, edging out the next structure by 23.0 kJ/mol of atoms.



Version w
Compound: LaBeFe3
Source: the Alexandria database
Functional: PBE-GGA
Structure: optimized geometry

```
5
Lattice="4.206 0.000 0.000 0.000 4.206 0.000 0.000 0.000 4.206" Properties=species:S:1:pos:R:3 pbc="T T T"
Be 0.000 0.000 0.000
Fe 0.000 2.103 0.000
Fe 0.000 0.000 2.103
Fe 2.103 0.000 0.000
La 2.103 2.103 2.103
```

Computed properties:
Its density of states at the Fermi level is 7.50 states/eV/f.u. The magnetic moment is 4.89 μB per cell. Its symmetry is No. 221.



Version x
Compound: LaBeFe3
Source: the Alexandria database
Functional: PBE-GGA
Structure: optimized geometry

```
5
Lattice="4.578 0.000 0.000 0.000 4.578 0.000 0.000 0.000 4.578" Properties=species:S:1:pos:R:3 pbc="T T T"
Be 2.289 2.289 2.289
Fe 0.000 2.289 0.000
Fe 0.000 0.000 2.289
Fe 2.289 0.000 0.000
La 0.000 0.000 0.000
```

Computed properties:
Its density of states at the Fermi level is 4.61 states/eV/f.u. The magnetic moment is 5.63 μB per cell. Its symmetry is No. 221.



version w ends up most stable, edging out the next structure by 155.2 kJ/mol of atoms.



Version w
Compound: LiBe2Fe2
Source: the Alexandria database
Functional: PBE-GGA
Structure: optimized geometry

```
10
Lattice="-0.892 -1.128 6.070 0.082 -6.134 -1.128 2.606 -0.034 0.376" Properties=species:S:1:pos:R:3 pbc="T T T"
Be -0.264 -5.802 1.298
Be -0.731 -4.812 4.618
Be -0.546 -1.460 3.645
Be -0.079 -2.449 0.324
Fe 1.207 -4.313 0.460
Fe 0.774 -5.869 3.313
Fe 0.589 -2.984 4.858
Fe 1.022 -1.428 2.006
Li 0.000 0.000 0.000
Li -0.405 -3.631 2.471
```

Computed properties:
Its density of states at the Fermi level is 4.28 states/eV/f.u. The magnetic moment is 7.49 μB per cell. Its symmetry is No. 127.



Version x
Compound: LiBe2Fe2
Source: the Alexandria database
Functional: PBE-GGA
Structure: optimized geometry

```
10
Lattice="6.724 0.000 0.000 0.000 6.724 0.000 0.000 0.000 2.394" Properties=species:S:1:pos:R:3 pbc="T T T"
Be 1.164 4.526 1.197
Be 4.526 5.560 1.197
Be 5.560 2.198 1.197
Be 2.198 1.164 1.197
Fe 2.544 5.906 0.000
Fe 5.906 4.180 0.000
Fe 4.180 0.818 0.000
Fe 0.818 2.544 0.000
Li 0.000 0.000 0.000
Li 3.362 3.362 0.000
```

Computed properties:
Its density of states at the Fermi level is 3.23 states/eV/f.u. The magnetic moment is 7.24 μB per cell. Its symmetry is No. 127.



version x ends up most stable, edging out the next structure by 1.7 kJ/mol of atoms.



Version w
Compound: MgBe2Fe2
Source: the Alexandria database
Functional: PBE-GGA
Structure: optimized geometry

```
5
Lattice="3.967 0.000 0.000 0.000 3.967 0.000 1.984 1.984 3.783" Properties=species:S:1:pos:R:3 pbc="T T T"
Be 3.967 1.984 1.892
Be 1.984 3.967 1.892
Mg 0.000 0.000 0.000
Fe 1.984 1.984 1.074
Fe 3.967 3.967 2.710
```

Computed properties:
Its density of states at the Fermi level is 2.13 states/eV/f.u. The magnetic moment is 2.01 μB per cell. Its symmetry is No. 139.



Version x
Compound: MgBe2Fe2
Source: the Alexandria database
Functional: PBE-GGA
Structure: optimized geometry

```
10
Lattice="6.314 0.000 0.000 0.000 6.314 0.000 0.000 0.000 2.734" Properties=species:S:1:pos:R:3 pbc="T T T"
Be 2.397 5.554 0.000
Be 5.554 3.917 0.000
Be 3.917 0.760 0.000
Be 0.760 2.397 0.000
Mg 0.000 0.000 0.000
Mg 3.157 3.157 0.000
Fe 1.057 4.214 1.367
Fe 4.214 5.257 1.367
Fe 5.257 2.100 1.367
Fe 2.100 1.057 1.367
```

Computed properties:
Its density of states at the Fermi level is 4.57 states/eV/f.u. The magnetic moment is 6.20 μB per cell. Its symmetry is No. 127.



Version y
Compound: MgBe2Fe2
Source: the Alexandria database
Functional: PBE-GGA
Structure: optimized geometry

```
10
Lattice="6.749 0.000 0.000 0.000 6.749 0.000 0.000 0.000 2.506" Properties=species:S:1:pos:R:3 pbc="T T T"
Be 1.155 4.529 1.253
Be 4.529 5.594 1.253
Be 5.594 2.220 1.253
Be 2.220 1.155 1.253
Mg 0.000 0.000 0.000
Mg 3.374 3.374 0.000
Fe 2.550 5.924 0.000
Fe 5.924 4.199 0.000
Fe 4.199 0.825 0.000
Fe 0.825 2.550 0.000
```

Computed properties:
Its density of states at the Fermi level is 2.52 states/eV/f.u. The magnetic moment is 7.28 μB per cell. Its symmetry is No. 127.



version x ends up most stable, edging out the next structure by 6.4 kJ/mol of atoms.



Version w
Compound: Mg3BeFe
Source: the Alexandria database
Functional: PBE-GGA
Structure: optimized geometry

```
5
Lattice="4.636 0.000 0.000 0.000 4.636 0.000 0.000 0.000 4.636" Properties=species:S:1:pos:R:3 pbc="T T T"
Be 0.000 0.000 0.000
Mg 0.000 2.318 0.000
Mg 0.000 0.000 2.318
Mg 2.318 0.000 0.000
Fe 2.318 2.318 2.318
```

Computed properties:
Its density of states at the Fermi level is 5.08 states/eV/f.u. The magnetic moment is 3.28 μB per cell. Its symmetry is No. 221.



Version x
Compound: Mg3BeFe
Source: the Alexandria database
Functional: PBE-GGA
Structure: optimized geometry

```
5
Lattice="-0.272 -1.523 4.487 4.728 0.202 0.355 -0.305 4.490 1.506" Properties=species:S:1:pos:R:3 pbc="T T T"
Be 2.076 1.585 3.174
Mg 2.364 0.101 0.178
Mg -0.152 2.245 0.753
Mg -0.136 -0.761 2.243
Fe 0.000 0.000 0.000
```

Computed properties:
Its density of states at the Fermi level is 3.87 states/eV/f.u. The magnetic moment is 0.00 μB per cell. Its symmetry is No. 221.



version w ends up most stable, edging out the next structure by 29.9 kJ/mol of atoms.



Version w
Compound: MgBeFe
Source: the Alexandria database
Functional: PBE-GGA
Structure: optimized geometry

```
3
Lattice="-3.747 -1.121 0.475 -0.831 -3.319 1.953 -1.672 0.177 3.563" Properties=species:S:1:pos:R:3 pbc="T T T"
Be -4.687 -3.197 4.494
Mg -3.125 -2.132 2.996
Fe 0.000 0.000 0.000
```

Computed properties:
Its density of states at the Fermi level is 2.86 states/eV/f.u. The magnetic moment is 1.99 μB per cell. Its symmetry is No. 216.



Version x
Compound: MgBeFe
Source: the Alexandria database
Functional: PBE-GGA
Structure: optimized geometry

```
3
Lattice="4.053 0.000 0.000 -2.027 3.510 0.000 0.000 0.000 2.657" Properties=species:S:1:pos:R:3 pbc="T T T"
Be 0.000 0.000 0.125
Mg 0.000 2.340 1.841
Fe 2.027 1.170 0.691
```

Computed properties:
Its density of states at the Fermi level is 3.00 states/eV/f.u. The magnetic moment is 1.67 μB per cell. Its symmetry is No. 156.



Version y
Compound: MgBeFe
Source: the Alexandria database
Functional: PBE-GGA
Structure: optimized geometry

```
3
Lattice="5.058 -0.154 0.162 4.340 2.600 0.190 0.718 0.158 2.750" Properties=species:S:1:pos:R:3 pbc="T T T"
Be 9.088 2.364 0.438
Mg 6.529 1.690 1.144
Fe 3.897 0.996 1.871
```

Computed properties:
Its density of states at the Fermi level is 2.57 states/eV/f.u. The magnetic moment is 1.22 μB per cell. Its symmetry is No. 107.



version y ends up most stable, edging out the next structure by 15.0 kJ/mol of atoms.



Version w
Compound: MnBeFe
Source: the Alexandria database
Functional: PBE-GGA
Structure: optimized geometry

```
3
Lattice="5.929 -0.002 0.002 5.325 2.293 -0.010 0.603 -0.497 2.240" Properties=species:S:1:pos:R:3 pbc="T T T"
Be 11.249 2.289 -0.008
Mn 7.632 1.343 0.756
Fe 4.230 0.452 1.474
```

Computed properties:
Its density of states at the Fermi level is 2.50 states/eV/f.u. The magnetic moment is 3.05 μB per cell. Its symmetry is No. 42.



Version x
Compound: MnBeFe
Source: the Alexandria database
Functional: PBE-GGA
Structure: optimized geometry

```
3
Lattice="3.761 0.000 0.000 -1.881 3.257 0.000 0.000 0.000 2.398" Properties=species:S:1:pos:R:3 pbc="T T T"
Be 0.000 0.000 0.048
Mn 0.000 2.172 1.566
Fe 1.881 1.086 0.784
```

Computed properties:
Its density of states at the Fermi level is 2.14 states/eV/f.u. The magnetic moment is 0.13 μB per cell. Its symmetry is No. 156.



version x ends up most stable, edging out the next structure by 4.3 kJ/mol of atoms.



Version w
Compound: MnBe3Fe
Source: the Alexandria database
Functional: PBE-GGA
Structure: optimized geometry

```
5
Lattice="3.819 0.000 0.000 0.000 3.819 0.000 0.000 0.000 3.819" Properties=species:S:1:pos:R:3 pbc="T T T"
Be 0.000 1.910 0.000
Be 0.000 0.000 1.910
Be 1.910 0.000 0.000
Mn 0.000 0.000 0.000
Fe 1.910 1.910 1.910
```

Computed properties:
Its density of states at the Fermi level is 19.83 states/eV/f.u. The magnetic moment is 0.04 μB per cell. Its symmetry is No. 221.



Version x
Compound: MnBe3Fe
Source: the Alexandria database
Functional: PBE-GGA
Structure: optimized geometry

```
5
Lattice="-0.430 3.447 -1.766 -3.718 -0.865 -0.782 -1.084 1.599 3.384" Properties=species:S:1:pos:R:3 pbc="T T T"
Be -1.859 -0.432 -0.391
Be -0.542 0.799 1.692
Be -0.215 1.723 -0.883
Mn -2.616 2.090 0.418
Fe 0.000 0.000 0.000
```

Computed properties:
Its density of states at the Fermi level is 1.87 states/eV/f.u. The magnetic moment is 4.49 μB per cell. Its symmetry is No. 221.



version x ends up most stable, edging out the next structure by 55.8 kJ/mol of atoms.



Version w
Compound: MnBeFeNiPb
Source: the Alexandria database
Functional: PBE-GGA
Structure: optimized geometry

```
10
Lattice="-6.160 -0.051 -0.047 0.018 -2.947 0.928 1.103 2.369 7.501" Properties=species:S:1:pos:R:3 pbc="T T T"
Pb -2.295 2.293 7.322
Pb -2.838 -0.365 4.036
Ni 0.241 2.138 6.784
Ni -0.302 -0.520 3.498
Mn -4.788 0.657 2.177
Mn -4.227 0.369 6.392
Fe -5.138 1.359 4.412
Fe -5.680 -1.299 1.126
Be -0.980 0.471 1.513
Be -0.420 0.182 5.728
```

Computed properties:
Its density of states at the Fermi level is 4.50 states/eV/f.u. The magnetic moment is 1.38 μB per cell. Its symmetry is No. 8.



Version x
Compound: MnBeFeNiPb
Source: the Alexandria database
Functional: PBE-GGA
Structure: optimized geometry

```
10
Lattice="-5.759 1.454 1.323 -0.956 -0.341 -3.787 1.060 -6.698 0.335" Properties=species:S:1:pos:R:3 pbc="T T T"
Pb -2.526 -2.324 0.847
Pb -2.474 -5.844 -0.879
Ni -1.333 0.133 0.324
Ni -1.281 -3.386 -1.402
Mn 0.135 -1.937 0.140
Mn 0.187 -5.456 -1.586
Fe -5.028 -2.681 1.510
Fe -6.036 0.497 -0.551
Be -3.986 -4.815 1.439
Be -4.994 -1.636 -0.622
```

Computed properties:
Its density of states at the Fermi level is 5.68 states/eV/f.u. The magnetic moment is 3.64 μB per cell. Its symmetry is No. 160.



Version y
Compound: MnBeFeNiPb
Source: the Alexandria database
Functional: PBE-GGA
Structure: optimized geometry

```
10
Lattice="-2.764 1.215 1.871 1.240 -1.352 2.708 6.374 10.736 2.440" Properties=species:S:1:pos:R:3 pbc="T T T"
Pb 4.700 7.916 1.799
Pb 2.132 1.872 1.933
Ni 4.472 10.468 3.177
Ni 1.905 4.424 3.311
Mn 2.653 4.468 1.015
Mn 6.459 9.160 3.590
Fe 0.415 0.699 0.159
Fe 4.222 5.392 2.733
Be 2.090 6.455 2.265
Be -0.477 0.411 2.399
```

Computed properties:
Its density of states at the Fermi level is 3.80 states/eV/f.u. The magnetic moment is 10.42 μB per cell. Its symmetry is No. 38.



Version z
Compound: MnBeFeNiPb
Source: the Alexandria database
Functional: PBE-GGA
Structure: optimized geometry

```
10
Lattice="-0.290 6.530 -1.601 -3.247 -0.515 -1.514 -2.559 -0.703 5.727" Properties=species:S:1:pos:R:3 pbc="T T T"
Pb -1.581 4.840 1.744
Pb -1.925 4.934 -1.877
Ni -2.481 -0.059 5.341
Ni -2.825 0.035 1.720
Mn -1.090 2.131 1.612
Mn -3.993 1.521 3.719
Fe -0.348 2.967 -0.264
Fe -3.251 2.358 1.843
Be -1.797 1.100 3.480
Be -2.141 1.194 -0.140
```

Computed properties:
Its density of states at the Fermi level is 3.77 states/eV/f.u. The magnetic moment is 1.14 μB per cell. Its symmetry is No. 8.



version y ends up most stable, edging out the next structure by 8.4 kJ/mol of atoms.



Version w
Compound: BeFeMo3
Source: the Alexandria database
Functional: PBE-GGA
Structure: optimized geometry

```
5
Lattice="4.161 0.000 0.000 0.000 4.161 0.000 0.000 0.000 4.161" Properties=species:S:1:pos:R:3 pbc="T T T"
Be 0.000 0.000 0.000
Mo 0.000 2.080 0.000
Mo 0.000 0.000 2.080
Mo 2.080 0.000 0.000
Fe 2.080 2.080 2.080
```

Computed properties:
Its density of states at the Fermi level is 5.92 states/eV/f.u. The magnetic moment is 0.00 μB per cell. Its symmetry is No. 221.



Version x
Compound: BeFeMo3
Source: the Alexandria database
Functional: PBE-GGA
Structure: optimized geometry

```
5
Lattice="-0.682 -2.706 -3.431 -2.117 -2.833 2.655 -3.822 2.052 -0.859" Properties=species:S:1:pos:R:3 pbc="T T T"
Be -3.311 -1.743 -0.817
Mo -1.059 -1.416 1.327
Mo -1.911 1.026 -0.429
Mo -0.341 -1.353 -1.715
Fe 0.000 0.000 0.000
```

Computed properties:
Its density of states at the Fermi level is 4.54 states/eV/f.u. The magnetic moment is 0.00 μB per cell. Its symmetry is No. 221.



version w ends up most stable, edging out the next structure by 40.3 kJ/mol of atoms.



Version w
Compound: BeFe3Mo
Source: the Alexandria database
Functional: PBE-GGA
Structure: optimized geometry

```
5
Lattice="-0.367 3.941 -1.950 -2.288 1.500 3.461 3.755 1.299 1.919" Properties=species:S:1:pos:R:3 pbc="T T T"
Be 0.550 3.370 1.715
Mo 0.000 0.000 0.000
Fe -1.144 0.750 1.731
Fe 1.877 0.649 0.960
Fe -0.183 1.970 -0.975
```

Computed properties:
Its density of states at the Fermi level is 5.22 states/eV/f.u. The magnetic moment is 4.35 μB per cell. Its symmetry is No. 221.



Version x
Compound: BeFe3Mo
Source: the Alexandria database
Functional: PBE-GGA
Structure: optimized geometry

```
5
Lattice="-3.120 -0.820 2.036 1.176 -3.612 0.348 1.853 0.912 3.207" Properties=species:S:1:pos:R:3 pbc="T T T"
Be 0.000 0.000 0.000
Mo -0.045 -1.760 2.795
Fe 0.588 -1.806 0.174
Fe 0.927 0.456 1.603
Fe -1.560 -0.410 1.018
```

Computed properties:
Its density of states at the Fermi level is 3.10 states/eV/f.u. The magnetic moment is 0.00 μB per cell. Its symmetry is No. 221.



version x ends up most stable, edging out the next structure by 123.6 kJ/mol of atoms.